## Rb2Na9Cd6 (PBE)

Data for crystalline Rb2Na9Cd6 at its relaxed geometry.

Computed properties:
Total magnetic moment = 0.0 μB per formula unit
Electronic total energy = -1.0923 eV/atom
Fermi-level density of states = 11.268 states/eV/f.u.

Cell: 6.7732 6.7732 16.0223 Å, 90.00 90.00 120.00°
Last column: nearest neighbours and their distance in Å.
Space group P6/mmm (No. 191)
Asymmetric unit:
1 Rb 0.0000 0.0000 0.1683 (multiplicity 2)  6 Cd 3.91, 12 Na 4.32-4.33
2 Na 0.0000 0.5000 0.0000 (multiplicity 3)  4 Cd 3.32, 4 Na 3.39
3 Na 0.0000 0.5000 0.3357 (multiplicity 6)  4 Cd 3.28-3.33, 4 Na 3.39
4 Cd 0.3333 0.6667 0.1677 (multiplicity 4)  6 Na 3.32-3.33
5 Cd 0.3333 0.6667 0.5000 (multiplicity 2)  6 Na 3.28